No. 1
The following is a GGA-PBE calculation of a relaxed SmHoCuPd crystal, from Alexandria via LeMat-Bulk.

Its energy relative to the lowest polymorph listed for this composition is 0 meV/atom.

The space group is Amm2 (No. 38) and the conventional cell measures 4.584, 3.777 and 10.484 Å, with angles of 90.00, 90.00 and 90.00 degrees. The asymmetric unit holds Sm at (0.000, 0.000, 0.000), Ho at (0.500, 0.000, 0.277), Cu at (0.000, 0.000, 0.718) and Pd at (0.500, 0.000, 0.564).

---

No. 2
The following is a GGA-PBE calculation of a relaxed SmHoCuPd crystal, from Alexandria via LeMat-Bulk.

Its energy relative to the lowest polymorph listed for this composition is 35 meV/atom.

The space group is F-43m (No. 216) and the conventional cell measures 7.050, 7.050 and 7.050 Å, with angles of 90.00, 90.00 and 90.00 degrees. The asymmetric unit holds Sm at (0.000, 0.000, 0.000), Ho at (0.000, 0.000, 0.500), Cu at (0.250, 0.250, 0.750) and Pd at (0.250, 0.250, 0.250).

---

No. 3
The following is a GGA-PBE calculation of a relaxed HoCuSnPd crystal, from Alexandria via LeMat-Bulk.

The space group is F-43m (No. 216) and the conventional cell measures 6.708, 6.708 and 6.708 Å, with angles of 90.00, 90.00 and 90.00 degrees. The asymmetric unit holds Ho at (0.000, 0.000, 0.000), Cu at (0.250, 0.250, 0.750), Sn at (0.000, 0.000, 0.500) and Pd at (0.250, 0.250, 0.250).

---

No. 4
The following is a GGA-PBE calculation of a relaxed HoTiCuPd crystal, from Alexandria via LeMat-Bulk.

The space group is F-43m (No. 216) and the conventional cell measures 6.638, 6.638 and 6.638 Å, with angles of 90.00, 90.00 and 90.00 degrees. The asymmetric unit holds Ho at (0.000, 0.000, 0.000), Ti at (0.000, 0.000, 0.500), Cu at (0.250, 0.250, 0.250) and Pd at (0.250, 0.250, 0.750).

---

In the order shown, the computed ΔE_f values come out to -2.3, -2.1, -2.5, -1.2 eV per formula unit.